Below is a relaxed structure of Be2TeCl, with properties calculated at the PBE level.

Summary:
Theoretical density in kg/m³: 3754
Magnetization in μB/f.u.: 0.00
Total DFT energy (no corrections) in eV/atom: -2.8331
N(E_F) in states/eV/f.u.: 0.94
ΔE_f (raw) in kJ/mol of formula units: 106.9

abc: 3.500 6.738 6.793
angles: 90.00 90.00 90.00
Space group Immm (No. 71)
Symmetry-distinct sites (fractional):
1 Be 0.000 0.000 0.244
2 Te 0.000 0.500 0.000
3 Cl 0.000 0.500 0.500